(1)
Density functional theory data (PBE) for a geometry-optimized FeCo2Se6 structure.

Geometry as CIF:
```
data_FeCo2Se6
_cell_length_a 6.099
_cell_length_b 6.099
_cell_length_c 6.099
_cell_angle_alpha 59.51
_cell_angle_beta 59.51
_cell_angle_gamma 59.51
_symmetry_space_group_name_H-M 'P 1'
_symmetry_Int_Tables_number 1
loop_
_symmetry_equiv_pos_as_xyz
'x,y,z'
loop_
_atom_site_label
_atom_site_fract_x
_atom_site_fract_y
_atom_site_fract_z
Fe1 0.000 0.000 0.000
Co1 0.326 0.326 0.326
Co2 0.502 0.502 0.502
Se1 0.073 0.743 0.423
Se2 0.222 0.579 0.927
Se3 0.423 0.073 0.743
Se4 0.579 0.927 0.222
Se5 0.743 0.423 0.073
Se6 0.927 0.222 0.579
```

Values from the calculation:
As for the total energy: -5.047 eV/atom. The energy relative to the elements, uncorrected comes out at -0.204 eV per atom.

=====

(2)
Density functional theory data (PBE) for a geometry-optimized TaSe structure.

Geometry as CIF:
```
data_TaSe
_cell_length_a 4.112
_cell_length_b 4.112
_cell_length_c 4.112
_cell_angle_alpha 60.00
_cell_angle_beta 60.00
_cell_angle_gamma 60.00
_symmetry_space_group_name_H-M 'P 1'
_symmetry_Int_Tables_number 1
loop_
_symmetry_equiv_pos_as_xyz
'x,y,z'
loop_
_atom_site_label
_atom_site_fract_x
_atom_site_fract_y
_atom_site_fract_z
Ta1 0.000 0.000 0.000
Se1 0.250 0.250 0.250
```

Values from the calculation:
As for the total energy: -7.197 eV/atom. The energy relative to the elements, uncorrected comes out at 0.472 eV per atom.

=====

(3)
Density functional theory data (PBE) for a geometry-optimized AlNiOs structure.

Geometry as CIF:
```
data_AlNiOs
_cell_length_a 3.992
_cell_length_b 3.992
_cell_length_c 3.992
_cell_angle_alpha 60.00
_cell_angle_beta 60.00
_cell_angle_gamma 60.00
_symmetry_space_group_name_H-M 'P 1'
_symmetry_Int_Tables_number 1
loop_
_symmetry_equiv_pos_as_xyz
'x,y,z'
loop_
_atom_site_label
_atom_site_fract_x
_atom_site_fract_y
_atom_site_fract_z
Al1 0.000 0.000 0.000
Ni1 0.250 0.250 0.250
Os1 0.500 0.500 0.500
```

Values from the calculation:
For the distance to the lowest polymorph of the same formula, the calculation gives 379.2 meV per atom. For the energy relative to the elements, the calculation gives 219 meV per atom. As for the total energy: -6.699 eV/atom.